[1]
Rb5Te2I2 | PBE | relaxed

As for the total moment: 1.021 μB per formula unit. Its total energy is -2.73 eV/atom.

```
Rb5Te2I2
1.0
-3.999 -0.123 -8.760
-2.053 -9.366 1.068
-10.215 2.163 -0.661
Rb Te I
10 4 4
direct
0.000 0.000 0.000 Rb
0.500 0.500 0.000 Rb
0.467 0.162 0.737 Rb
0.795 0.838 0.737 Rb
0.295 0.662 0.737 Rb
0.967 0.338 0.737 Rb
0.533 0.838 0.263 Rb
0.205 0.162 0.263 Rb
0.705 0.338 0.263 Rb
0.033 0.662 0.263 Rb
0.129 0.371 0.000 Te
0.871 0.629 0.000 Te
0.371 0.871 0.000 Te
0.629 0.129 0.000 Te
0.203 0.000 0.593 I
0.703 0.500 0.593 I
0.797 0.000 0.407 I
0.297 0.500 0.407 I
```

[2]
Ce3SnCl3 | PBE | relaxed

As for the total moment: 4.596 μB per formula unit. Its total energy is -5.24 eV/atom.

```
Ce3SnCl3
1.0
7.241 0.000 0.000
3.621 6.271 0.000
3.621 2.090 10.158
Ce Sn Cl
6 2 6
direct
0.254 0.622 0.187 Ce
0.937 0.254 0.187 Ce
0.622 0.937 0.187 Ce
0.378 0.063 0.813 Ce
0.063 0.746 0.813 Ce
0.746 0.378 0.813 Ce
0.333 0.333 0.000 Sn
0.667 0.667 0.000 Sn
0.467 0.762 0.657 Cl
0.762 0.114 0.657 Cl
0.114 0.467 0.657 Cl
0.886 0.533 0.343 Cl
0.238 0.886 0.343 Cl
0.533 0.238 0.343 Cl
```

[3]
Mg2MnTc | PBE | relaxed

As for the polymorph energy (0 for the lowest one): 675 meV per atom. As for the total moment: 3.995 μB per formula unit. Its total energy is -4.93 eV/atom.

```
Mg2MnTc
1.0
7.235 0.000 0.000
0.000 7.235 0.000
3.617 3.617 2.695
Mg Mn Tc
4 2 2
direct
0.624 0.125 0.250 Mg
0.126 0.625 0.250 Mg
0.375 0.376 0.750 Mg
0.875 0.874 0.750 Mg
0.500 0.500 0.000 Mn
0.250 0.750 0.500 Mn
0.000 0.000 0.000 Tc
0.750 0.250 0.500 Tc
```